Below is crystalline La7Tb3Sm2 at its relaxed geometry, with properties calculated at the PBE level.

The formation energy is 0.06 eV per atom. The value obtained for the total energy is -57.09 eV for the cell shown.

It has space group P2/m (No. 10), with a = 6.5722 Å, b = 3.5992 Å, c = 17.8874 Å, α = 90.00°, β = 95.58° and γ = 90.00°. The inequivalent atoms are La at (0.0000, 0.0000, 0.0000), La at (0.2253, 0.5000, 0.1719), La at (0.2615, 0.5000, 0.4906), La at (0.2787, 0.0000, 0.8332), Tb at (0.4563, 0.0000, 0.3377), Tb at (0.5000, 0.5000, 0.0000) and Sm at (0.0592, 0.5000, 0.6693).

=====

Below is crystalline Y8Er4Pu at its relaxed geometry, with properties calculated at the PBE level.

The formation energy is 0.52 eV per atom. The value obtained for the total energy is -232.66 eV for the cell shown.

It has space group R-3m (No. 166, hexagonal axes), with a = 10.9259 Å, b = 10.9259 Å, c = 13.3591 Å, α = 90.00°, β = 90.00° and γ = 120.00°. The inequivalent atoms are Y at (0.0000, 0.0000, 0.2447), Y at (0.0066, 0.5033, 0.7480), Er at (0.0000, 0.0000, 0.0000), Er at (0.0000, 0.5000, 0.0000) and Pu at (0.0000, 0.0000, 0.5000).

=====

Below is crystalline TbY3Ho7 at its relaxed geometry, with properties calculated at the PBE level.

The formation energy is 0.28 eV per atom. The value obtained for the total energy is -106.07 eV for the cell shown. For the offset from the most stable computed form, the calculation gives 119 meV/atom.

It has space group C2/m (No. 12), with a = 12.5810 Å, b = 11.1229 Å, c = 5.7652 Å, α = 90.00°, β = 117.21° and γ = 90.00°. The inequivalent atoms are Tb at (0.0000, 0.0000, 0.0000), Y at (0.0000, 0.2933, 0.5000), Y at (0.0000, 0.5000, 0.0000), Ho at (0.0000, 0.0000, 0.5000), Ho at (0.2022, 0.3010, 0.2020) and Ho at (0.2094, 0.5000, 0.7085).

=====

Below is crystalline NdMgAlCu2 at its relaxed geometry, with properties calculated at the PBE level.

The formation energy is -0.25 eV per atom. The value obtained for the total energy is -39.09 eV for the cell shown.

It has space group I-4m2 (No. 119), with a = 4.1363 Å, b = 4.1363 Å, c = 11.3391 Å, α = 90.00°, β = 90.00° and γ = 90.00°. The inequivalent atoms are Nd at (0.0000, 0.0000, 0.0000), Mg at (0.0000, 0.5000, 0.2500), Al at (0.0000, 0.5000, 0.7500) and Cu at (0.0000, 0.0000, 0.3913).

=====

Below is crystalline SrTm2Os at its relaxed geometry, with properties calculated at the PBE level.

The formation energy is -0.13 eV per atom. The value obtained for the total energy is -22.39 eV for the cell shown.

It has space group P4/mmm (No. 123), with a = 3.4286 Å, b = 3.4286 Å, c = 9.8565 Å, α = 90.00°, β = 90.00° and γ = 90.00°. The inequivalent atoms are Sr at (0.0000, 0.0000, 0.0000), Tm at (0.5000, 0.5000, 0.3376) and Os at (0.0000, 0.0000, 0.5000).

=====

Below is crystalline La3Nd2UN6 at its relaxed geometry, with properties calculated at the PBE level.

For the formation energy (no corrections), the calculation gives -1.420 eV/atom. The value obtained for the total energy is -205.20 eV for the cell shown.

It has space group C2/m (No. 12), with a = 6.2953 Å, b = 10.8840 Å, c = 6.3406 Å, α = 90.00°, β = 109.26° and γ = 90.00°. The inequivalent atoms are La at (0.0000, 0.0000, 0.0000), La at (0.0000, 0.3332, 0.0000), Nd at (0.0000, 0.1664, 0.5000), U at (0.0000, 0.5000, 0.5000), N at (0.2212, 0.3526, 0.7205) and N at (0.2227, 0.5000, 0.2727).

=====

Below is crystalline Hf2H3Pt at its relaxed geometry, with properties calculated at the PBE level.

The value obtained for the total energy is -158.48 eV for the cell shown.

It has space group C2/m (No. 12), with a = 12.2212 Å, b = 3.1873 Å, c = 7.2360 Å, α = 90.00°, β = 110.16° and γ = 90.00°. The inequivalent atoms are Hf at (0.0333, 0.0000, 0.2232), Hf at (0.1811, 0.5000, 0.6580), H at (0.0474, 0.5000, 0.3963), H at (0.0836, 0.0000, 0.6459), H at (0.1862, 0.0000, 0.4673) and Pt at (0.1597, 0.5000, 0.0475).

=====

Below is crystalline MgTl2Re at its relaxed geometry, with properties calculated at the PBE level.

The formation energy is 0.71 eV per atom. The value obtained for the total energy is -15.94 eV for the cell shown. For the offset from the most stable computed form, the calculation gives 120 meV/atom.

It has space group Pmm2 (No. 25), with a = 3.0428 Å, b = 4.5537 Å, c = 6.0285 Å, α = 90.00°, β = 90.00° and γ = 90.00°. The inequivalent atoms are Mg at (0.0000, 0.0000, 0.0000), Tl at (0.0000, 0.0000, 0.4548), Tl at (0.5000, 0.5000, 0.7393) and Re at (0.5000, 0.5000, 0.2141).

=====

Below is crystalline BaGe2W at its relaxed geometry, with properties calculated at the PBE level.

The formation energy is 0.14 eV per atom. The value obtained for the total energy is -94.28 eV for the cell shown. For the offset from the most stable computed form, the calculation gives 0 meV/atom.

It has space group I4_1/amd (No. 141, origin choice 2), with a = 5.6208 Å, b = 5.6208 Å, c = 15.8813 Å, α = 90.00°, β = 90.00° and γ = 90.00°. The inequivalent atoms are Ba at (0.0000, 0.2500, 0.3750), Ge at (0.0000, 0.0000, 0.0000) and W at (0.0000, 0.2500, 0.8750).

=====

Below is crystalline BaReAs2 at its relaxed geometry, with properties calculated at the PBE level.

The formation energy is -0.21 eV per atom. The value obtained for the total energy is -73.51 eV for the cell shown. For the offset from the most stable computed form, the calculation gives 49 meV/atom.

It has space group R3m (No. 160, hexagonal axes), with a = 4.0963 Å, b = 4.0963 Å, c = 20.2673 Å, α = 90.00°, β = 90.00° and γ = 120.00°. The inequivalent atoms are Ba at (0.0000, 0.0000, 0.0000), Re at (0.0000, 0.0000, 0.8180), As at (0.0000, 0.0000, 0.2185) and As at (0.0000, 0.0000, 0.4486).

=====

Below is crystalline Pm2Tm2Ir3 at its relaxed geometry, with properties calculated at the PBE level.

The formation energy is -0.79 eV per atom. The value obtained for the total energy is -151.61 eV for the cell shown.

It has space group R-3m (No. 166, hexagonal axes), with a = 4.7934 Å, b = 4.7934 Å, c = 24.3720 Å, α = 90.00°, β = 90.00° and γ = 120.00°. The inequivalent atoms are Pm at (0.0000, 0.0000, 0.1237), Tm at (0.0000, 0.0000, 0.3735), Ir at (0.0000, 0.0000, 0.0000) and Ir at (0.0000, 0.0000, 0.2534).

=====

Below is crystalline HfPb3 at its relaxed geometry, with properties calculated at the PBE level.

The formation energy is 0.17 eV per atom. The value obtained for the total energy is -40.78 eV for the cell shown.

It has space group Imm2 (No. 44), with a = 3.3621 Å, b = 11.3162 Å, c = 5.7044 Å, α = 90.00°, β = 90.00° and γ = 90.00°. The inequivalent atoms are Hf at (0.0000, 0.0000, 0.0000), Pb at (0.0000, 0.2661, 0.6446) and Pb at (0.0000, 0.5000, 0.0162).

=====

Below is crystalline Er2Ge5Rh3 at its relaxed geometry, with properties calculated at the PBE level.

The formation energy is -0.77 eV per atom. The value obtained for the total energy is -247.78 eV for the cell shown. For the offset from the most stable computed form, the calculation gives 0 meV/atom.

It has space group C2/c (No. 15), with a = 11.3164 Å, b = 12.2122 Å, c = 5.8614 Å, α = 90.00°, β = 117.98° and γ = 90.00°. The inequivalent atoms are Er at (0.2305, 0.1401, 0.2366), Ge at (0.0000, 0.0136, 0.2500), Ge at (0.0000, 0.2783, 0.2500), Ge at (0.0000, 0.2936, 0.7500), Ge at (0.1708, 0.4059, 0.1695), Rh at (0.0000, 0.4979, 0.7500) and Rh at (0.0966, 0.1425, 0.6260).